Compound: PmAl12Cu6
Source: Alexandria
Functional: GGA-PBE
Structure: relaxed

a b c (Å): 11.2583 11.2583 8.5428
angles (deg): 90.00 90.00 120.00
Space group R-3m (No. 166, hexagonal axes)
Inequivalent atoms, fractional coordinates:
Pm1 0.0000 0.0000 0.0000 x3
Al1 0.0000 0.3835 0.5000 x18
Al2 0.0852 0.1704 0.3288 x18
Cu1 0.0360 0.5180 0.2512 x18

Output
ΔE_f   -0.11 eV per atom
Raw total energy   -4.02 eV/atom
M_tot   0.00 μB per formula unit